[1]
{"formula": "Li2CuNi", "functional": "PBE", "state": "relaxed", "lattice_angstrom": [[1.449, -2.050, 0.000], [1.449, 2.050, 0.000], [0.000, 0.000, 8.671]], "species": ["Li", "Li", "Cu", "Ni"], "fractional_positions": [[0.000, 0.000, 0.000], [0.500, 0.500, 0.301], [0.500, 0.500, 0.759], [0.000, 0.000, 0.530]], "space_group": "Cmm2", "e_above_lowest_polymorph_mev_per_atom": 60.2, "formation_enthalpy_0k_ev_per_fu": 0.2, "dft_energy_ev_per_atom": -3.38}

***

[2]
{"formula": "SbWCl2", "functional": "PBE", "state": "relaxed", "lattice_angstrom": [[3.065, 0.000, 0.000], [0.000, 4.729, 0.000], [0.000, 0.000, 5.578]], "species": ["Sb", "W", "Cl", "Cl"], "fractional_positions": [[0.000, 0.000, 0.000], [0.500, 0.000, 0.500], [0.000, 0.500, 0.500], [0.500, 0.500, 0.000]], "space_group": "Pmmm", "e_above_lowest_polymorph_mev_per_atom": 763.5, "dft_energy_ev_per_atom": -4.56}

***

[3]
{"formula": "LiBeHg2", "functional": "PBE", "state": "relaxed", "lattice_angstrom": [[1.650, 0.953, 8.401], [-1.650, 0.953, 8.401], [0.000, -1.906, 8.401]], "species": ["Li", "Be", "Hg", "Hg"], "fractional_positions": [[0.000, 0.000, 0.000], [0.743, 0.743, 0.743], [0.247, 0.247, 0.247], [0.473, 0.473, 0.473]], "space_group": "R3m", "formation_enthalpy_0k_ev_per_fu": 1.1, "dft_energy_ev_per_atom": -1.29}

***

[4]
{"formula": "ScFeTe2", "functional": "PBE", "state": "relaxed", "lattice_angstrom": [[4.075, 0.000, 0.000], [0.000, 5.416, 0.000], [-0.005, 0.000, 4.347]], "species": ["Sc", "Fe", "Te", "Te"], "fractional_positions": [[0.000, 0.000, 0.000], [0.502, 0.500, 0.247], [0.001, 0.500, 0.836], [0.500, 0.000, 0.464]], "space_group": "Pm", "dft_energy_ev_per_atom": -5.69}

***

[5]
{"formula": "Rb2GaTc", "functional": "PBE", "state": "relaxed", "lattice_angstrom": [[-6.636, 6.636, 2.472], [6.636, -6.636, 2.472], [6.636, 6.636, -2.472]], "species": ["Rb", "Rb", "Rb", "Rb", "Ga", "Ga", "Tc", "Tc"], "fractional_positions": [[0.375, 0.180, 0.305], [0.820, 0.125, 0.195], [0.875, 0.070, 0.695], [0.930, 0.625, 0.805], [0.250, 0.750, 0.500], [0.500, 0.500, 0.000], [0.000, 0.000, 0.000], [0.750, 0.250, 0.500]], "space_group": "I-42d", "formation_enthalpy_0k_ev_per_fu": 3.5, "dft_energy_ev_per_atom": -2.97}

***

[6]
{"formula": "OsW3S", "functional": "PBE", "state": "relaxed", "lattice_angstrom": [[4.774, 0.000, 0.000], [0.000, 4.774, 0.000], [0.000, 0.000, 4.774]], "species": ["Os", "W", "W", "W", "S"], "fractional_positions": [[0.000, 0.000, 0.000], [0.000, 0.000, 0.500], [0.000, 0.500, 0.000], [0.500, 0.000, 0.000], [0.500, 0.500, 0.500]], "space_group": "Pm-3m", "e_above_lowest_polymorph_mev_per_atom": 1172.4, "dft_energy_ev_per_atom": -8.61}

***

[7]
{"formula": "TeHPt3", "functional": "PBE", "state": "relaxed", "lattice_angstrom": [[5.004, 0.000, 0.000], [0.000, 5.004, 0.000], [0.000, 0.000, 5.004]], "species": ["Te", "H", "Pt", "Pt", "Pt"], "fractional_positions": [[0.000, 0.000, 0.000], [0.500, 0.500, 0.500], [0.000, 0.000, 0.500], [0.000, 0.500, 0.000], [0.500, 0.000, 0.000]], "space_group": "Pm-3m", "e_above_lowest_polymorph_mev_per_atom": 1160.7, "dft_energy_ev_per_atom": -3.57}

***

[8]
{"formula": "Cs2RbRh", "functional": "PBE", "state": "relaxed", "lattice_angstrom": [[0.000, 6.528, 6.528], [6.528, 0.000, 6.528], [6.528, 6.528, 0.000]], "species": ["Cs", "Cs", "Cs", "Cs", "Rb", "Rb", "Rh", "Rh"], "fractional_positions": [[0.000, 0.000, 0.000], [0.000, 0.000, 0.500], [0.000, 0.500, 0.000], [0.500, 0.000, 0.000], [0.375, 0.375, 0.375], [0.625, 0.625, 0.625], [0.125, 0.125, 0.125], [0.875, 0.875, 0.875]], "space_group": "Fd-3m", "formation_enthalpy_0k_ev_per_fu": 2.1, "dft_energy_ev_per_atom": -1.99}

***

[9]
{"formula": "CsReI2O", "functional": "PBE", "state": "relaxed", "lattice_angstrom": [[6.014, 0.000, 0.000], [0.000, 6.014, 0.000], [0.000, 0.000, 3.864]], "species": ["Cs", "Re", "I", "I", "O"], "fractional_positions": [[0.000, 0.000, 0.000], [0.500, 0.500, 0.500], [0.000, 0.500, 0.500], [0.500, 0.000, 0.500], [0.500, 0.500, 0.000]], "space_group": "P4/mmm", "e_above_lowest_polymorph_mev_per_atom": 0.0, "dft_energy_ev_per_atom": -4.78}

***

[10]
{"formula": "Ho4Tl5", "functional": "PBE", "state": "relaxed", "lattice_angstrom": [[9.312, 0.000, 0.000], [-4.656, 8.064, 0.000], [0.000, 0.000, 6.565]], "species": ["Ho", "Ho", "Ho", "Ho", "Ho", "Ho", "Ho", "Ho", "Tl", "Tl", "Tl", "Tl", "Tl", "Tl", "Tl", "Tl", "Tl", "Tl"], "fractional_positions": [[0.000, 0.000, 0.000], [0.000, 0.000, 0.500], [0.000, 0.369, 0.250], [0.000, 0.631, 0.750], [0.369, 0.000, 0.250], [0.369, 0.369, 0.750], [0.631, 0.000, 0.750], [0.631, 0.631, 0.250], [0.000, 0.299, 0.750], [0.000, 0.701, 0.250], [0.299, 0.000, 0.750], [0.299, 0.299, 0.250], [0.333, 0.667, 0.000], [0.333, 0.667, 0.500], [0.667, 0.333, 0.000], [0.667, 0.333, 0.500], [0.701, 0.000, 0.250], [0.701, 0.701, 0.750]], "space_group": "P6_3/mcm", "formation_enthalpy_0k_ev_per_fu": -2.5, "dft_energy_ev_per_atom": -3.63}

***

[11]
{"formula": "SrLaTlPb", "functional": "PBE", "state": "relaxed", "lattice_angstrom": [[0.000, 4.048, 4.048], [4.048, 0.000, 4.048], [4.048, 4.048, 0.000]], "species": ["Sr", "La", "Tl", "Pb"], "fractional_positions": [[0.000, 0.000, 0.000], [0.500, 0.500, 0.500], [0.250, 0.250, 0.250], [0.750, 0.750, 0.750]], "space_group": "F-43m", "e_above_lowest_polymorph_mev_per_atom": 14.0, "formation_enthalpy_0k_ev_per_fu": -1.9, "dft_energy_ev_per_atom": -3.63}

***

[12]
{"formula": "Tb8Sb2Ru", "functional": "PBE", "state": "relaxed", "lattice_angstrom": [[9.452, -2.330, 0.000], [9.452, 2.330, 0.000], [-1.050, 0.000, 7.151]], "species": ["Tb", "Tb", "Tb", "Tb", "Tb", "Tb", "Tb", "Tb", "Sb", "Sb", "Ru"], "fractional_positions": [[0.005, 0.005, 0.276], [0.216, 0.216, 0.845], [0.358, 0.358, 0.470], [0.405, 0.405, 0.989], [0.595, 0.595, 0.011], [0.642, 0.642, 0.530], [0.784, 0.784, 0.155], [0.995, 0.995, 0.724], [0.182, 0.182, 0.270], [0.818, 0.818, 0.730], [0.500, 0.500, 0.500]], "space_group": "C2/m", "dft_energy_ev_per_atom": -5.42}